*A*
Computed, not measured: crystalline Ce2YPt9 at its relaxed geometry at the PBE level of DFT.

Results
As for the magnetization: 0.16 μB per cell. As for the symmetry: P4/mmm (123).

Cell lengths 4.157, 4.157, 12.454 Å; angles 90.00, 90.00, 90.00 degrees
Fractional positions:
Ce (0.000, 0.000, 0.169)
Ce (0.000, 0.000, 0.831)
Y (0.000, 0.000, 0.500)
Pt (0.000, 0.500, 0.000)
Pt (0.000, 0.500, 0.333)
Pt (0.000, 0.500, 0.667)
Pt (0.500, 0.000, 0.000)
Pt (0.500, 0.000, 0.333)
Pt (0.500, 0.000, 0.667)
Pt (0.500, 0.500, 0.167)
Pt (0.500, 0.500, 0.500)
Pt (0.500, 0.500, 0.833)


*B*
Computed, not measured: crystalline Ce2YPt9 at its relaxed geometry at the PBE level of DFT.

Results
As for the magnetization: 0.99 μB per cell. As for the symmetry: R-3m (166).

Cell lengths 9.504, 9.504, 9.504 Å; angles 33.10, 33.10, 33.10 degrees
Fractional positions:
Ce (0.139, 0.139, 0.139)
Ce (0.861, 0.861, 0.861)
Y (0.000, 0.000, 0.000)
Pt (0.081, 0.586, 0.586)
Pt (0.333, 0.333, 0.333)
Pt (0.414, 0.414, 0.919)
Pt (0.414, 0.919, 0.414)
Pt (0.500, 0.500, 0.500)
Pt (0.586, 0.081, 0.586)
Pt (0.586, 0.586, 0.081)
Pt (0.667, 0.667, 0.667)
Pt (0.919, 0.414, 0.414)


Of the structures shown above, *A* is the most stable.